(1)
A relaxed AlPS4 crystal, computed with PBE-GGA.

abc: 5.723 5.723 10.459
angles: 90.00 90.00 90.00
Space group P-42c (No. 112)
One atom of each set of equivalent atoms:
Al: 0.000 0.000 0.250 x2
P: 0.000 0.500 0.250 x2
S: 0.199 0.276 0.139 x8


(2)
A relaxed HgGeSe crystal, computed with PBE-GGA.

abc: 21.910 3.970 4.154
angles: 90.00 90.16 90.00
Space group C2/m (No. 12)
One atom of each set of equivalent atoms:
Hg: 0.059 0.000 0.248 x4
Ge: 0.190 0.500 0.298 x4
Se: 0.193 0.000 0.747 x4

**ΔE to the lowest computed polymorph**: 0.08 eV per formula unit


Number 1: formation energy from raw total energies -591 meV per atom, mass density 1.81 g/cm3. Number 2: formation energy from raw total energies -113 meV per atom, mass density 6.48 g/cm3.